a:
Below is a relaxed structure of YSiAu3, with properties calculated at the PBE level.

Spin magnetization, μB/f.u.: 0.00
Crystal system: orthorhombic
Volume, Å³ per atom: 19.50

```
20
Lattice="-2.8137 -3.4611 1.6586 4.9048 -6.1710 -4.5566 5.4009 -0.9731 7.1315" Properties=species:S:1:pos:R:3 pbc="T T T"
Y 7.0270 -8.3229 4.7934
Y 5.5193 -5.8366 0.5972
Y 1.9727 -4.7686 3.6362
Y 0.4651 -2.2823 -0.5600
Si 3.6108 -2.3211 4.6953
Si 6.7951 -5.5385 3.3834
Si 0.6970 -5.0667 0.8501
Si 3.8813 -8.2841 -0.4619
Au 2.5613 -4.4850 -1.6006
Au 4.9308 -6.1201 5.8340
Au 1.9045 -1.7231 3.0487
Au 5.5876 -8.8821 1.1848
Au 4.8692 -4.0047 3.3168
Au -0.7476 -3.3495 1.9827
Au 8.2397 -7.2556 2.2507
Au 4.5029 -7.0273 3.2152
Au 2.9892 -3.5779 1.0182
Au 2.9368 -4.1015 6.6638
Au 2.6229 -6.6004 0.9167
Au 4.5553 -6.5037 -2.4303
```


b:
Below is a relaxed structure of YSiAu3, with properties calculated at the PBE level.

Spin magnetization, μB/f.u.: 0.00
Crystal system: cubic
Volume, Å³ per atom: 22.05

```
5
Lattice="-3.4121 -2.7888 -1.8896 2.9263 -1.1214 -3.6290 1.6688 -3.7357 2.5001" Properties=species:S:1:pos:R:3 pbc="T T T"
Y 0.5915 -3.8230 -1.5093
Si 0.0000 0.0000 0.0000
Au 1.4631 -0.5607 -1.8145
Au 0.8344 -1.8678 1.2500
Au -1.7060 -1.3944 -0.9448
```


c:
Below is a relaxed structure of YSiAu3, with properties calculated at the PBE level.

Spin magnetization, μB/f.u.: 0.00
Crystal system: cubic
Volume, Å³ per atom: 30.90

```
5
Lattice="5.3657 0.0000 0.0000 0.0000 5.3657 0.0000 0.0000 0.0000 5.3657" Properties=species:S:1:pos:R:3 pbc="T T T"
Y 0.0000 0.0000 0.0000
Si 2.6828 2.6828 2.6828
Au 0.0000 2.6828 0.0000
Au 0.0000 0.0000 2.6828
Au 2.6828 0.0000 0.0000
```


Going by the energies, a is most stable and the next is 0.256 eV/atom up.


a:
Below is a relaxed structure of Y2SiAu2, with properties calculated at the PBE level.

Spin magnetization, μB/f.u.: 0.00
Crystal system: tetragonal
Volume, Å³ per atom: 22.56

```
10
Lattice="-0.7534 2.0188 7.3323 4.6648 -5.6967 2.0478 3.0354 2.3637 -0.3389" Properties=species:S:1:pos:R:3 pbc="T T T"
Y 4.5250 -2.3011 2.4729
Y 4.8709 -2.1742 6.4563
Y 2.4218 0.9869 6.5683
Y 2.0759 0.8600 2.5849
Si 0.0000 0.0000 0.0000
Si 1.9557 -1.8389 4.6901
Au 3.7791 -4.2087 4.4934
Au 2.2840 -1.8335 7.6686
Au 0.1323 0.5308 4.8868
Au 1.6273 -1.8444 1.7116
```


b:
Below is a relaxed structure of Y2SiAu2, with properties calculated at the PBE level.

Spin magnetization, μB/f.u.: 0.00
Crystal system: tetragonal
Volume, Å³ per atom: 24.11

```
10
Lattice="-3.7262 0.2325 7.0648 0.4554 -7.9618 0.5022 3.3331 0.3009 1.7481" Properties=species:S:1:pos:R:3 pbc="T T T"
Y -0.8477 -6.5220 2.7389
Y -2.7825 -5.1515 6.1921
Y -2.4232 -1.2073 4.8281
Y -0.4883 -2.5778 1.3748
Si 0.0000 0.0000 0.0000
Si -1.6354 -3.8647 3.7835
Au 1.4785 -4.8129 2.0869
Au -0.2727 -6.6536 5.7428
Au -1.4162 -2.6155 7.2281
Au 0.3350 -0.7748 3.5723
```


Going by the energies, a is most stable and the next is 0.172 eV/atom up.


a:
Below is a relaxed structure of Zn2SiAu8, with properties calculated at the PBE level.

Spin magnetization, μB/f.u.: 0.00
Crystal system: monoclinic
Volume, Å³ per atom: 17.97

```
11
Lattice="4.6280 -0.2285 -0.9590 -2.0241 6.3105 -3.3603 -0.1470 -0.7794 7.3880" Properties=species:S:1:pos:R:3 pbc="T T T"
Zn 0.9729 4.2012 -0.3701
Zn 1.6810 1.5264 3.6848
Si 1.3222 -0.0545 -0.2669
Au 2.4297 2.0120 -1.1189
Au 2.9116 0.1922 1.6399
Au 0.5022 1.9127 1.1740
Au -0.4211 0.5271 5.2180
Au -1.5643 4.8449 -1.3277
Au 1.4355 4.5056 2.7214
Au -1.0510 4.4117 1.3588
Au -0.6375 2.8501 3.7262
```


b:
Below is a relaxed structure of Zn2SiAu8, with properties calculated at the PBE level.

Spin magnetization, μB/f.u.: 0.00
Crystal system: monoclinic
Volume, Å³ per atom: 17.75

```
11
Lattice="4.2192 0.0000 0.0000 0.0000 5.8430 -0.1416 -2.1096 -2.6538 7.9844" Properties=species:S:1:pos:R:3 pbc="T T T"
Zn 2.1096 -0.0664 5.0274
Zn 0.0000 3.2556 2.8154
Si 2.1096 0.0000 0.0000
Au 0.0000 1.3252 6.1870
Au 2.1096 4.7520 2.1901
Au 2.1096 2.6212 4.4476
Au 2.1096 -1.1460 7.6715
Au 0.0000 0.5679 3.3952
Au 0.0000 -1.5628 5.6527
Au 2.1096 1.8640 1.6557
Au 0.0000 4.3352 0.1713
```


Going by the energies, b is most stable and the next is 0.005 eV/atom up.


a:
Below is a relaxed structure of ZnSi2Au2, with properties calculated at the PBE level.

Spin magnetization, μB/f.u.: 0.00
Crystal system: tetragonal
Volume, Å³ per atom: 18.26

```
10
Lattice="-2.4129 -4.5632 -3.8083 -3.5726 -2.1713 4.8652 -3.2858 2.7331 -1.1931" Properties=species:S:1:pos:R:3 pbc="T T T"
Zn 0.0000 0.0000 0.0000
Zn -2.9927 -3.3672 0.5284
Au -4.9649 -1.4470 2.1072
Au -6.1244 -3.7000 0.1391
Au -4.3063 -2.5544 -2.2434
Au -3.1469 -0.3013 -0.2753
Si -4.0039 -3.5807 2.8241
Si -4.3494 -5.3391 -0.2525
Si -1.9816 -3.1537 -1.7673
Si -1.6361 -1.3954 1.3093
```


b:
Below is a relaxed structure of ZnSi2Au2, with properties calculated at the PBE level.

Spin magnetization, μB/f.u.: 0.00
Crystal system: tetragonal
Volume, Å³ per atom: 17.91

```
10
Lattice="7.1285 0.0000 0.0000 0.0000 7.1285 0.0000 0.0000 0.0000 3.5254" Properties=species:S:1:pos:R:3 pbc="T T T"
Zn 0.0000 0.0000 0.0000
Zn 3.5643 3.5643 0.0000
Au 2.5257 6.0899 0.0000
Au 6.0899 4.6028 0.0000
Au 4.6028 1.0386 0.0000
Au 1.0386 2.5257 0.0000
Si 1.1574 4.7217 1.7627
Si 4.7217 5.9711 1.7627
Si 5.9711 2.4068 1.7627
Si 2.4068 1.1574 1.7627
```


Going by the energies, a is most stable and the next is 0.095 eV/atom up.


a:
Below is a relaxed structure of Zr4SiAu, with properties calculated at the PBE level.

Spin magnetization, μB/f.u.: 0.00
Crystal system: tetragonal
Volume, Å³ per atom: 20.43

```
12
Lattice="5.3940 0.0000 0.0000 0.0000 6.7414 0.0000 0.0000 0.0000 6.7414" Properties=species:S:1:pos:R:3 pbc="T T T"
Zr 0.0000 1.1077 4.3561
Zr 0.0000 5.6338 2.3853
Zr 0.0000 2.3853 1.1077
Zr 0.0000 4.3561 5.6338
Zr 2.6970 5.6338 4.3561
Zr 2.6970 1.1077 2.3853
Zr 2.6970 4.3561 1.1077
Zr 2.6970 2.3853 5.6338
Si 1.3485 3.3707 3.3707
Si 4.0455 3.3707 3.3707
Au 1.3485 0.0000 0.0000
Au 4.0455 0.0000 0.0000
```


b:
Below is a relaxed structure of Zr4SiAu, with properties calculated at the PBE level.

Spin magnetization, μB/f.u.: 0.00
Crystal system: cubic
Volume, Å³ per atom: 20.98

```
6
Lattice="-4.6088 -3.0206 1.1331 -4.7197 2.5805 1.6475 -4.4335 0.2296 -3.4555" Properties=species:S:1:pos:R:3 pbc="T T T"
Zr -7.4685 -1.5979 0.3172
Zr -7.3804 0.0366 -1.9904
Zr -7.5243 1.2189 0.5759
Zr -5.1507 -0.0788 -0.2526
Si 0.0000 0.0000 0.0000
Au -10.3215 -0.1579 -0.5062
```


Going by the energies, a is most stable and the next is 0.831 eV/atom up.


a:
Below is a relaxed structure of SmAu6, with properties calculated at the PBE level.

Spin magnetization, μB/f.u.: 0.85
Crystal system: cubic
Volume, Å³ per atom: 37.82

```
7
Lattice="-6.1908 -0.7942 1.5067 1.0686 -6.2342 1.1044 1.3263 1.3156 6.1430" Properties=species:S:1:pos:R:3 pbc="T T T"
Sm 0.0000 0.0000 0.0000
Au -0.0180 -2.6152 3.9195
Au -1.4951 -2.4569 6.2426
Au -2.3007 -3.2559 2.5116
Au -2.2224 -0.9633 4.0417
Au -1.5734 -4.7496 4.7125
Au -3.7779 -3.0976 4.8346
```


b:
Below is a relaxed structure of SmAu6, with properties calculated at the PBE level.

Spin magnetization, μB/f.u.: 0.00
Crystal system: tetragonal
Volume, Å³ per atom: 19.86

```
56
Lattice="9.9467 0.0000 0.0000 0.0000 10.5745 0.0000 0.0000 0.0000 10.5745" Properties=species:S:1:pos:R:3 pbc="T T T"
Sm 0.3847 7.1434 1.8562
Sm 0.3847 3.4311 8.7184
Sm 5.3581 3.4311 1.8562
Sm 5.3581 7.1434 8.7184
Sm 4.5886 1.8562 7.1434
Sm 9.5620 1.8562 3.4311
Sm 9.5620 8.7184 7.1434
Sm 4.5886 8.7184 3.4311
Au 9.2586 9.4828 4.1955
Au 4.2852 9.4828 6.3790
Au 4.2852 1.0917 4.1955
Au 9.2586 1.0917 6.3790
Au 0.6881 6.3790 9.4828
Au 0.6881 4.1955 1.0917
Au 5.6615 4.1955 9.4828
Au 5.6615 6.3790 1.0917
Au 8.9031 0.5497 9.2370
Au 3.9297 3.9497 4.7376
Au 3.9297 6.6248 5.8370
Au 8.9031 10.0248 1.3375
Au 1.0436 4.7376 3.9497
Au 1.0436 5.8370 6.6248
Au 6.0170 9.2370 0.5497
Au 6.0170 1.3375 10.0248
Au 6.0170 4.7376 6.6248
Au 1.0436 1.3375 0.5497
Au 1.0436 9.2370 10.0248
Au 6.0170 5.8370 3.9497
Au 3.9297 0.5497 1.3375
Au 3.9297 10.0248 9.2370
Au 8.9031 6.6248 4.7376
Au 8.9031 3.9497 5.8370
Au 8.2377 8.0751 9.8457
Au 3.2643 4.5585 7.7867
Au 3.2643 6.0160 2.7878
Au 8.2377 2.4994 0.7288
Au 1.7091 7.7867 4.5585
Au 1.7091 2.7878 6.0160
Au 6.6824 9.8457 8.0751
Au 6.6824 0.7288 2.4994
Au 6.6824 7.7867 6.0160
Au 1.7091 0.7288 8.0751
Au 1.7091 9.8457 2.4994
Au 6.6824 2.7878 4.5585
Au 3.2643 8.0751 0.7288
Au 3.2643 2.4994 9.8457
Au 8.2377 6.0160 7.7867
Au 8.2377 4.5585 2.7878
Au 3.1249 5.2873 0.0000
Au 8.0982 5.2873 0.0000
Au 6.8219 0.0000 5.2873
Au 1.8485 0.0000 5.2873
Au 7.4600 2.6436 7.9309
Au 2.4867 2.6436 2.6436
Au 2.4867 7.9309 7.9309
Au 7.4600 7.9309 2.6436
```


c:
Below is a relaxed structure of SmAu6, with properties calculated at the PBE level.

Spin magnetization, μB/f.u.: 0.00
Crystal system: cubic
Volume, Å³ per atom: 28.82

```
7
Lattice="6.3992 0.0000 0.0000 -2.1331 6.0332 0.0000 -2.1331 -3.0166 5.2249" Properties=species:S:1:pos:R:3 pbc="T T T"
Sm 0.0000 0.0000 0.0000
Au -1.0665 3.0166 2.6125
Au 1.0665 3.7708 1.3062
Au -1.0665 0.7542 3.9187
Au 3.1996 0.0000 2.6125
Au 1.0665 -0.7542 3.9187
Au 3.1996 2.2625 1.3062
```


Going by the energies, b is most stable and the next is 0.828 eV/atom up.


a:
Below is a relaxed structure of Sm3Au2, with properties calculated at the PBE level.

Spin magnetization, μB/f.u.: 0.00
Crystal system: tetragonal
Volume, Å³ per atom: 26.95

```
10
Lattice="-2.3099 -3.0644 0.5588 2.4709 -3.1926 -7.2930 6.2230 -3.9880 3.8542" Properties=species:S:1:pos:R:3 pbc="T T T"
Sm 0.0000 0.0000 0.0000
Sm 4.3470 -3.5903 -1.7194
Sm 3.3850 -4.7061 1.6415
Sm 0.6970 -3.2592 -1.5355
Sm 5.6870 -6.9858 -1.3444
Sm 2.9990 -5.5389 -4.5214
Au 6.3309 -4.6531 0.6537
Au 2.6249 -1.8909 0.4814
Au 6.0690 -5.2898 -3.9202
Au 2.3630 -2.5275 -4.0925
```


b:
Below is a relaxed structure of Sm3Au2, with properties calculated at the PBE level.

Spin magnetization, μB/f.u.: 0.00
Crystal system: monoclinic
Volume, Å³ per atom: 28.77

```
15
Lattice="-2.2363 3.7837 2.6145 2.1346 -5.8622 5.3081 9.6148 4.8940 1.1413" Properties=species:S:1:pos:R:3 pbc="T T T"
Sm 9.1616 4.1219 6.8725
Sm 0.3515 -1.3065 2.1914
Sm 2.7774 0.8934 6.0841
Sm 6.7357 1.9220 2.9798
Sm 3.5435 0.3076 2.5858
Sm 5.9696 2.5079 6.4781
Sm 2.0740 3.5062 1.7012
Sm 7.4391 -0.6908 7.3627
Sm -1.1181 1.8918 1.3072
Au 4.1048 3.1413 3.9664
Au 5.4083 -0.3259 5.0975
Au 0.7459 1.2578 3.8192
Au 8.7671 1.5577 5.2447
Au 1.5779 -1.1365 7.9958
Au 7.9352 3.9519 1.0680
```


Going by the energies, a is most stable and the next is 0.100 eV/atom up.


a:
Below is a relaxed structure of Sm2Au3, with properties calculated at the PBE level.

Spin magnetization, μB/f.u.: 0.00
Crystal system: cubic
Volume, Å³ per atom: 26.38

```
20
Lattice="8.8173 0.0000 0.0000 -2.9391 8.3130 0.0000 -2.9391 -4.1565 7.1993" Properties=species:S:1:pos:R:3 pbc="T T T"
Sm 5.6483 1.7531 3.0365
Sm -0.2299 -0.3251 0.5632
Sm 3.6288 4.1565 0.0000
Sm 2.7092 -1.4280 3.5997
Sm -1.6995 3.8314 6.6362
Sm -1.6995 -2.4034 4.1628
Sm 1.2396 2.7285 3.5997
Sm -0.7798 4.1565 0.0000
Au 3.0108 0.9884 1.8877
Au 5.8065 5.2464 1.7120
Au 5.8065 2.1290 0.0879
Au 0.0717 -0.0507 3.5118
Au 5.9499 -0.9377 1.7998
Au 2.8674 0.9377 5.3995
Au -1.5413 1.0899 5.4873
Au 1.5413 5.1449 5.3116
Au -1.3978 4.1058 3.6875
Au -1.5413 -2.0275 7.1114
Au -4.3369 3.2188 5.3995
Au 1.3978 5.0942 1.7998
```


b:
Below is a relaxed structure of Sm2Au3, with properties calculated at the PBE level.

Spin magnetization, μB/f.u.: 0.00
Crystal system: orthorhombic
Volume, Å³ per atom: 24.35

```
10
Lattice="3.6428 0.0000 -0.5997 0.0000 4.6439 0.0000 0.4854 0.0000 14.3132" Properties=species:S:1:pos:R:3 pbc="T T T"
Sm 1.3597 3.4829 8.2601
Sm 2.7685 1.1610 5.4534
Sm 2.1504 3.4829 1.6990
Sm 1.9777 1.1610 12.0145
Au 0.8426 3.4829 5.1185
Au 3.2856 1.1610 8.5950
Au 3.5711 3.4829 10.3292
Au 0.5571 1.1610 3.3844
Au 0.1148 1.1610 0.6974
Au 4.0134 3.4829 13.0161
```


Going by the energies, b is most stable and the next is 0.150 eV/atom up.